This record from the Alexandria database describes a relaxed structure of Tm2Ti2Fe15. The functional is PBE-GGA.

Results
Symmetry: No. 166
DFT total energy, eV/atom: -8.088
N(E_F), states/eV per atom: 1.057
E_form, eV/atom: -0.10
M_tot, Bohr magnetons per cell: 28.14

The structure in POSCAR format:
```
Tm2Ti2Fe15
1.0
4.207 2.429 4.176
-4.207 2.429 4.176
0.000 -4.858 4.176
Tm Ti Fe
2 2 15
direct
0.150 0.150 0.150 Tm
0.850 0.850 0.850 Tm
0.398 0.398 0.398 Ti
0.602 0.602 0.602 Ti
0.000 0.500 0.500 Fe
0.157 0.157 0.661 Fe
0.157 0.661 0.157 Fe
0.196 0.500 0.804 Fe
0.196 0.804 0.500 Fe
0.339 0.843 0.843 Fe
0.500 0.000 0.500 Fe
0.500 0.196 0.804 Fe
0.500 0.500 0.000 Fe
0.500 0.804 0.196 Fe
0.661 0.157 0.157 Fe
0.804 0.196 0.500 Fe
0.804 0.500 0.196 Fe
0.843 0.339 0.843 Fe
0.843 0.843 0.339 Fe
```

***

This record from the Alexandria database describes a relaxed structure of TmTi2Fe. The functional is PBE-GGA.

Results
Symmetry: No. 123
DFT total energy, eV/atom: -7.162
N(E_F), states/eV per atom: 1.523
E_form, eV/atom: 0.02
M_tot, Bohr magnetons per cell: 0.23

The structure in POSCAR format:
```
TmTi2Fe
1.0
3.072 0.000 0.000
0.000 3.072 0.000
0.000 0.000 7.575
Tm Ti Fe
1 2 1
direct
0.000 0.000 0.000 Tm
0.500 0.500 0.317 Ti
0.500 0.500 0.683 Ti
0.000 0.000 0.500 Fe
```

***

This record from the Alexandria database describes a relaxed structure of TmTiFe11. The functional is PBE-GGA.

Results
Symmetry: No. 44
DFT total energy, eV/atom: -8.202
N(E_F), states/eV per atom: 0.923
E_form, eV/atom: -0.09
M_tot, Bohr magnetons per cell: 21.08

The structure in POSCAR format:
```
TmTiFe11
1.0
-2.351 4.194 4.242
2.351 -4.194 4.242
2.351 4.194 -4.242
Tm Ti Fe
1 1 11
direct
0.000 0.000 0.000 Tm
0.625 0.625 0.000 Ti
0.207 0.493 0.714 Fe
0.225 0.725 0.500 Fe
0.348 0.348 0.000 Fe
0.349 0.994 0.355 Fe
0.494 0.495 0.499 Fe
0.494 0.996 0.000 Fe
0.639 0.994 0.645 Fe
0.768 0.268 0.500 Fe
0.780 0.493 0.286 Fe
0.996 0.495 0.000 Fe
0.996 0.996 0.501 Fe
```

***

This record from the Alexandria database describes a relaxed structure of TmTiFe2. The functional is PBE-GGA.

Results
Symmetry: No. 123
DFT total energy, eV/atom: -7.412
N(E_F), states/eV per atom: 1.136
E_form, eV/atom: -0.09
M_tot, Bohr magnetons per cell: 0.49

The structure in POSCAR format:
```
TmTiFe2
1.0
3.094 0.000 0.000
0.000 3.094 0.000
0.000 0.000 6.336
Tm Ti Fe
1 1 2
direct
0.000 0.000 0.000 Tm
0.000 0.000 0.500 Ti
0.500 0.500 0.286 Fe
0.500 0.500 0.714 Fe
```

***

This record from the Alexandria database describes a relaxed structure of UTiFe2. The functional is PBE-GGA.

Results
Symmetry: No. 123
DFT total energy, eV/atom: -9.189
N(E_F), states/eV per atom: 0.833
E_form, eV/atom: -0.16
Excess energy over the best structure of this formula in the dataset, meV/atom: 0
M_tot, Bohr magnetons per cell: 0.00

The structure in POSCAR format:
```
UTiFe2
1.0
2.900 0.000 0.000
0.000 2.900 0.000
0.000 0.000 6.814
U Ti Fe
1 1 2
direct
0.000 0.000 0.000 U
0.000 0.000 0.500 Ti
0.500 0.500 0.283 Fe
0.500 0.500 0.717 Fe
```

***

This record from the Alexandria database describes a relaxed structure of UTiFe. The functional is PBE-GGA.

Results
Symmetry: No. 74
DFT total energy, eV/atom: -9.253
N(E_F), states/eV per atom: 1.670
E_form, eV/atom: -0.04
M_tot, Bohr magnetons per cell: 1.31

The structure in POSCAR format:
```
UTiFe
1.0
-2.722 2.825 3.180
2.722 -2.825 3.180
2.722 2.825 -3.180
U Ti Fe
2 2 2
direct
0.338 0.088 0.250 U
0.662 0.912 0.750 U
0.000 0.500 0.500 Ti
0.500 0.500 0.000 Ti
0.000 0.000 0.500 Fe
0.000 0.500 0.000 Fe
```